This record from the Alexandria database describes a relaxed TaCdAs2 crystal. The functional is PBE-GGA.

Structure (CIF):
```
data_TaCdAs2
_chemical_formula_sum 'Ta2 Cd2 As4'
_space_group_name_H-M_alt 'I 4/m m m'
_space_group_IT_number 139
_space_group_name_Hall '-I 4 2'
_cell_length_a 4.447
_cell_length_b 4.447
_cell_length_c 7.555
_cell_angle_alpha 90.00
_cell_angle_beta 90.00
_cell_angle_gamma 90.00
loop_
_atom_site_label
_atom_site_type_symbol
_atom_site_fract_x
_atom_site_fract_y
_atom_site_fract_z
Ta1 Ta 0.000 0.000 0.000
Cd1 Cd 0.000 0.000 0.500
As1 As 0.000 0.500 0.250
```

Results
* raw total energy: -5.234 eV/atom
* formation energy: 1.13 eV/f.u.



This record from the Alexandria database describes a relaxed Ta3CdAs crystal. The functional is PBE-GGA.

Structure (CIF):
```
data_Ta3CdAs
_chemical_formula_sum 'Ta3 Cd1 As1'
_space_group_name_H-M_alt 'P m -3 m'
_space_group_IT_number 221
_space_group_name_Hall '-P 4 2 3'
_cell_length_a 4.765
_cell_length_b 4.765
_cell_length_c 4.765
_cell_angle_alpha 90.00
_cell_angle_beta 90.00
_cell_angle_gamma 90.00
loop_
_atom_site_label
_atom_site_type_symbol
_atom_site_fract_x
_atom_site_fract_y
_atom_site_fract_z
Ta1 Ta 0.000 0.000 0.500
Cd1 Cd 0.500 0.500 0.500
As1 As 0.000 0.000 0.000
```

Results
* raw total energy: -7.327 eV/atom
* formation energy: 4.49 eV/f.u.
* offset from the most stable computed form: 0.000 eV/atom



This record from the Alexandria database describes a relaxed TaCd2As2 crystal. The functional is PBE-GGA.

Structure (CIF):
```
data_TaCd2As2
_chemical_formula_sum 'Ta2 Cd4 As4'
_space_group_name_H-M_alt 'P 4/m b m'
_space_group_IT_number 127
_space_group_name_Hall '-P 4 2ab'
_cell_length_a 6.900
_cell_length_b 6.900
_cell_length_c 4.273
_cell_angle_alpha 90.00
_cell_angle_beta 90.00
_cell_angle_gamma 90.00
loop_
_atom_site_label
_atom_site_type_symbol
_atom_site_fract_x
_atom_site_fract_y
_atom_site_fract_z
Ta1 Ta 0.000 0.000 0.000
Cd1 Cd 0.169 0.331 0.500
As1 As 0.148 0.648 0.000
```

Results
* raw total energy: -4.458 eV/atom
* formation energy: 0.69 eV/f.u.



This record from the Alexandria database describes a relaxed TaCd2As crystal. The functional is PBE-GGA.

Structure (CIF):
```
data_TaCd2As
_chemical_formula_sum 'Ta2 Cd4 As2'
_space_group_name_H-M_alt 'C m m m'
_space_group_IT_number 65
_space_group_name_Hall '-C 2 2'
_cell_length_a 4.086
_cell_length_b 4.287
_cell_length_c 9.250
_cell_angle_alpha 90.00
_cell_angle_beta 90.00
_cell_angle_gamma 90.00
loop_
_atom_site_label
_atom_site_type_symbol
_atom_site_fract_x
_atom_site_fract_y
_atom_site_fract_z
Ta1 Ta 0.000 0.000 0.000
Cd1 Cd 0.000 0.500 0.240
As1 As 0.000 0.000 0.500
```

Results
* raw total energy: -4.282 eV/atom
* formation energy: 1.20 eV/f.u.



This record from the Alexandria database describes a relaxed TaCdAs2 crystal. The functional is PBE-GGA.

Structure (CIF):
```
data_TaCdAs2
_chemical_formula_sum 'Ta3 Cd3 As6'
_space_group_name_H-M_alt 'R 3 m'
_space_group_IT_number 160
_space_group_name_Hall 'R 3 -2"'
_cell_length_a 3.0183
_cell_length_b 3.0183
_cell_length_c 32.2101
_cell_angle_alpha 90.00
_cell_angle_beta 90.00
_cell_angle_gamma 120.00
loop_
_atom_site_label
_atom_site_type_symbol
_atom_site_fract_x
_atom_site_fract_y
_atom_site_fract_z
Ta1 Ta 0.0000 0.0000 0.0000
Cd1 Cd 0.0000 0.0000 0.2550
As1 As 0.0000 0.0000 0.5149
As2 As 0.0000 0.0000 0.7336
```

Results
* raw total energy: -5.300 eV/atom
* formation energy: 0.87 eV/f.u.



This record from the Alexandria database describes a relaxed TaCd2As crystal. The functional is PBE-GGA.

Structure (CIF):
```
data_TaCd2As
_chemical_formula_sum 'Ta3 Cd6 As3'
_space_group_name_H-M_alt 'R -3 m'
_space_group_IT_number 166
_space_group_name_Hall '-R 3 2"'
_cell_length_a 3.0950
_cell_length_b 3.0950
_cell_length_c 29.0121
_cell_angle_alpha 90.00
_cell_angle_beta 90.00
_cell_angle_gamma 120.00
loop_
_atom_site_label
_atom_site_type_symbol
_atom_site_fract_x
_atom_site_fract_y
_atom_site_fract_z
Ta1 Ta 0.0000 0.0000 0.0000
Cd1 Cd 0.0000 0.0000 0.2494
As1 As 0.0000 0.0000 0.5000
```

Results
* raw total energy: -4.263 eV/atom
* formation energy: 1.28 eV/f.u.



This record from the Alexandria database describes a relaxed TaCd2As crystal. The functional is PBE-GGA.

Structure (CIF):
```
data_TaCd2As
_chemical_formula_sum 'Ta1 Cd2 As1'
_space_group_name_H-M_alt 'P m m m'
_space_group_IT_number 47
_cell_length_a 3.333
_cell_length_b 4.444
_cell_length_c 5.241
_cell_angle_alpha 90.00
_cell_angle_beta 90.00
_cell_angle_gamma 90.00
loop_
_space_group_symop_operation_xyz
'x,y,z'
'-x,-y,-z'
'-x,-y,z'
'x,y,-z'
'x,-y,-z'
'-x,y,z'
'-x,y,-z'
'x,-y,z'
loop_
_atom_site_label
_atom_site_type_symbol
_atom_site_fract_x
_atom_site_fract_y
_atom_site_fract_z
Ta1 Ta 0.000 0.000 0.000
Cd1 Cd 0.000 0.500 0.500
Cd2 Cd 0.500 0.000 0.500
As1 As 0.500 0.500 0.000
```

Results
* raw total energy: -4.277 eV/atom
* formation energy: 1.22 eV/f.u.



This record from the Alexandria database describes a relaxed TaCd2As crystal. The functional is PBE-GGA.

Structure (CIF):
```
data_TaCd2As
_chemical_formula_sum 'Ta4 Cd8 As4'
_space_group_name_H-M_alt 'I -4 2 d'
_space_group_IT_number 122
_space_group_name_Hall 'I -4 2bw'
_cell_length_a 7.965
_cell_length_b 7.965
_cell_length_c 5.296
_cell_angle_alpha 90.00
_cell_angle_beta 90.00
_cell_angle_gamma 90.00
loop_
_atom_site_label
_atom_site_type_symbol
_atom_site_fract_x
_atom_site_fract_y
_atom_site_fract_z
Ta1 Ta 0.000 0.000 0.000
Cd1 Cd 0.230 0.250 0.625
As1 As 0.000 0.000 0.500
```

Results
* raw total energy: -4.109 eV/atom
* formation energy: 1.90 eV/f.u.



This record from the Alexandria database describes a relaxed TaCd2As crystal. The functional is PBE-GGA.

Structure (CIF):
```
data_TaCd2As
_chemical_formula_sum 'Ta2 Cd4 As2'
_space_group_name_H-M_alt 'C m m 2'
_space_group_IT_number 35
_cell_length_a 3.407
_cell_length_b 4.707
_cell_length_c 11.001
_cell_angle_alpha 90.00
_cell_angle_beta 90.00
_cell_angle_gamma 90.00
loop_
_space_group_symop_operation_xyz
'x,y,z'
'-x,-y,z'
'-x,y,z'
'x,-y,z'
'x+1/2,y+1/2,z'
'-x+1/2,-y+1/2,z'
'-x+1/2,y+1/2,z'
'x+1/2,-y+1/2,z'
loop_
_atom_site_label
_atom_site_type_symbol
_atom_site_fract_x
_atom_site_fract_y
_atom_site_fract_z
Ta1 Ta 0.000 0.000 0.000
Cd1 Cd 0.000 0.000 0.486
Cd2 Cd 0.000 0.500 0.221
As1 As 0.000 0.500 0.814
```

Results
* raw total energy: -4.511 eV/atom
* formation energy: 0.29 eV/f.u.



This record from the Alexandria database describes a relaxed TaCdAs2 crystal. The functional is PBE-GGA.

Structure (CIF):
```
data_TaCdAs2
_chemical_formula_sum 'Ta1 Cd1 As2'
_space_group_name_H-M_alt 'P 4 m m'
_space_group_IT_number 99
_cell_length_a 2.894
_cell_length_b 2.894
_cell_length_c 10.144
_cell_angle_alpha 90.00
_cell_angle_beta 90.00
_cell_angle_gamma 90.00
loop_
_space_group_symop_operation_xyz
'x,y,z'
'-y,x,z'
'-x,-y,z'
'y,-x,z'
'-x,y,z'
'y,x,z'
'x,-y,z'
'-y,-x,z'
loop_
_atom_site_label
_atom_site_type_symbol
_atom_site_fract_x
_atom_site_fract_y
_atom_site_fract_z
Ta1 Ta 0.000 0.000 0.000
Cd1 Cd 0.500 0.500 0.771
As1 As 0.000 0.000 0.549
As2 As 0.500 0.500 0.197
```

Results
* raw total energy: -5.295 eV/atom
* formation energy: 0.89 eV/f.u.



This record from the Alexandria database describes a relaxed TaCdAs2 crystal. The functional is PBE-GGA.

Structure (CIF):
```
data_TaCdAs2
_chemical_formula_sum 'Ta2 Cd2 As4'
_space_group_name_H-M_alt 'I m m 2'
_space_group_IT_number 44
_cell_length_a 3.391
_cell_length_b 3.706
_cell_length_c 13.156
_cell_angle_alpha 90.00
_cell_angle_beta 90.00
_cell_angle_gamma 90.00
loop_
_space_group_symop_operation_xyz
'x,y,z'
'-x,-y,z'
'-x,y,z'
'x,-y,z'
'x+1/2,y+1/2,z+1/2'
'-x+1/2,-y+1/2,z+1/2'
'-x+1/2,y+1/2,z+1/2'
'x+1/2,-y+1/2,z+1/2'
loop_
_atom_site_label
_atom_site_type_symbol
_atom_site_fract_x
_atom_site_fract_y
_atom_site_fract_z
Ta1 Ta 0.000 0.000 0.000
Cd1 Cd 0.000 0.500 0.255
As1 As 0.000 0.000 0.431
As2 As 0.000 0.500 0.650
```

Results
* raw total energy: -5.555 eV/atom
* formation energy: -0.15 eV/f.u.



This record from the Alexandria database describes a relaxed TaCd2As crystal. The functional is PBE-GGA.

Structure (CIF):
```
data_TaCd2As
_chemical_formula_sum 'Ta2 Cd4 As2'
_space_group_name_H-M_alt 'I -4 m 2'
_space_group_IT_number 119
_space_group_name_Hall 'I -4 -2'
_cell_length_a 4.177
_cell_length_b 4.177
_cell_length_c 8.812
_cell_angle_alpha 90.00
_cell_angle_beta 90.00
_cell_angle_gamma 90.00
loop_
_atom_site_label
_atom_site_type_symbol
_atom_site_fract_x
_atom_site_fract_y
_atom_site_fract_z
Ta1 Ta 0.000 0.000 0.000
Cd1 Cd 0.000 0.000 0.500
Cd2 Cd 0.000 0.500 0.250
As1 As 0.000 0.500 0.750
```

Results
* raw total energy: -4.291 eV/atom
* formation energy: 1.17 eV/f.u.



Among the records above, which one has the highest formation energy?
Ta3CdAs



Which formula does entry 1 have?
TaCdAs2



What is the raw total energy in the eighth record?
-4.109 eV/atom